## A
First-principles (PBE) data for an optimized crystal structure of LaMg4Ni, as listed in Alexandria.

Cell lengths 8.226, 8.226, 8.226 Å; angles 90.00, 90.00, 90.00 degrees
Space group F-43m (No. 216)
Inequivalent atoms, fractional coordinates:
La  0.000  0.000  0.000 (multiplicity 4)
Mg  0.124  0.124  0.624 (multiplicity 16)
Ni  0.250  0.250  0.250 (multiplicity 4)

Spin magnetization   0.47 μB/f.u.

---

## B
First-principles (PBE) data for an optimized crystal structure of LaMg4Ni, as listed in Alexandria.

Cell lengths 8.591, 4.324, 7.403 Å; angles 90.00, 90.00, 90.00 degrees
Space group Pmma (No. 51)
Inequivalent atoms, fractional coordinates:
La  0.250  0.000  0.086 (multiplicity 2)
Mg  0.000  0.000  0.500 (multiplicity 2)
Mg  0.063  0.500  0.795 (multiplicity 4)
Mg  0.250  0.500  0.456 (multiplicity 2)
Ni  0.250  0.000  0.711 (multiplicity 2)

Spin magnetization   0.00 μB/f.u.

---

Stability ranking, top and bottom: B is the most stable and A is the least stable.

---

## A
First-principles (PBE) data for an optimized crystal structure of La4MgNi, as listed in Alexandria.

Cell lengths 14.286, 14.286, 14.286 Å; angles 90.00, 90.00, 90.00 degrees
Space group F-43m (No. 216)
Inequivalent atoms, fractional coordinates:
La  0.000  0.000  0.188 (multiplicity 24)
La  0.060  0.250  0.250 (multiplicity 24)
La  0.095  0.095  0.595 (multiplicity 16)
Mg  0.172  0.172  0.828 (multiplicity 16)
Ni  0.108  0.108  0.392 (multiplicity 16)

Spin magnetization   0.00 μB/f.u.

---

## B
First-principles (PBE) data for an optimized crystal structure of La4MgNi, as listed in Alexandria.

Cell lengths 9.100, 9.100, 9.100 Å; angles 90.00, 90.00, 90.00 degrees
Space group F-43m (No. 216)
Inequivalent atoms, fractional coordinates:
La  0.124  0.124  0.376 (multiplicity 16)
Mg  0.000  0.000  0.000 (multiplicity 4)
Ni  0.250  0.250  0.750 (multiplicity 4)

Spin magnetization   0.00 μB/f.u.

---

Stability ranking, top and bottom: A is the most stable and B is the least stable.